No. 1
Mn2HgPt9 | PBE | relaxed

Cell lengths 3.9616, 3.9616, 12.0210 Å; angles 90.00, 90.00, 90.00 degrees
Atoms (fractional coordinates):
Mn1 0.0000 0.0000 0.3362
Pt1 0.5000 0.0000 0.5000
Mn2 0.0000 0.0000 0.6638
Pt2 0.0000 0.5000 0.5000
Pt3 0.5000 0.0000 0.1790
Pt4 0.0000 0.5000 0.1790
Hg1 0.0000 0.0000 0.0000
Pt5 0.0000 0.5000 0.8210
Pt6 0.5000 0.5000 0.0000
Pt7 0.5000 0.0000 0.8210
Pt8 0.5000 0.5000 0.3391
Pt9 0.5000 0.5000 0.6609

Computed properties:
- volume (Å³/atom) = 15.7
- space-group type = P4/mmm, No. 123
- formation enthalpy at 0 K (eV/atom) = -0.2259

---

No. 2
TcSe2Cl | PBE | relaxed

Cell lengths 6.6130, 6.6130, 6.8278 Å; angles 61.04, 61.04, 90.00 degrees
Atoms (fractional coordinates):
Tc1 0.7500 0.2500 0.5000
Se1 0.7087 0.1250 0.2500
Cl1 0.2500 0.7500 0.5000
Se2 0.8750 0.9587 0.7500
Tc2 0.0000 0.0000 0.0000
Se3 0.0413 0.6250 0.2500
Se4 0.3750 0.2913 0.7500
Cl2 0.5000 0.5000 0.0000

Computed properties:
- energy relative to the lowest polymorph listed for this composition (eV/f.u.) = 0.93
- volume (Å³/atom) = 27.2
- space-group type = I-42d, No. 122

---

No. 3
ReSbI2O | PBE | relaxed

Cell lengths 5.6768, 5.6768, 3.7732 Å; angles 90.00, 90.00, 90.00 degrees
Atoms (fractional coordinates):
I1 0.0000 0.5000 0.0000
Sb1 0.5000 0.5000 0.5000
I2 0.5000 0.0000 0.0000
O1 0.0000 0.0000 0.5000
Re1 0.0000 0.0000 0.0000

Computed properties:
- energy relative to the lowest polymorph listed for this composition (eV/f.u.) = 0.00
- volume (Å³/atom) = 24.3
- space-group type = P4/mmm, No. 123

---

No. 4
Sc2AsPd | PBE | relaxed

Cell lengths 3.4901, 4.6111, 4.6111 Å; angles 90.00, 90.00, 90.00 degrees
Atoms (fractional coordinates):
Pd1 0.5000 0.5000 0.5000
As1 0.5000 0.0000 0.0000
Sc1 0.0000 0.0000 0.5000
Sc2 0.0000 0.5000 0.0000

Computed properties:
- volume (Å³/atom) = 18.6
- space-group type = P4/mmm, No. 123
- formation enthalpy at 0 K (eV/atom) = -0.9291

---

No. 5
ZrTl2S2 | PBE | relaxed

Cell lengths 5.5113, 5.5113, 5.7789 Å; angles 61.52, 61.52, 90.00 degrees
Atoms (fractional coordinates):
S1 0.7500 0.2500 0.5000
Tl1 0.3389 0.3389 0.3222
Tl2 0.6611 0.6611 0.6778
S2 0.2500 0.7500 0.5000
Zr1 0.0000 0.0000 0.0000

Computed properties:
- energy relative to the lowest polymorph listed for this composition (eV/f.u.) = 0.46
- volume (Å³/atom) = 25.9
- space-group type = I4/mmm, No. 139

---

No. 6
ZnReNi | PBE | relaxed

Cell lengths 4.6908, 7.8780, 4.5919 Å; angles 90.00, 109.85, 90.00 degrees
Atoms (fractional coordinates):
Ni1 0.5000 0.5373 0.0000
Ni2 0.0000 0.3582 0.0000
Zn1 0.0000 0.0319 0.0000
Re1 0.5000 0.8754 0.0000
Ni3 0.5000 0.0373 0.5000
Re2 0.5000 0.7108 0.5000
Zn2 0.0000 0.5319 0.5000
Re3 0.5000 0.2108 0.0000
Zn3 0.0000 0.6936 0.0000
Ni4 0.0000 0.8582 0.5000
Zn4 0.0000 0.1936 0.5000
Re4 0.5000 0.3754 0.5000

Computed properties:
- energy relative to the lowest polymorph listed for this composition (eV/f.u.) = 0.16
- volume (Å³/atom) = 13.3
- space-group type = C2, No. 5
- formation enthalpy at 0 K (eV/atom) = 0.0523